Record 1
Density functional theory data (PBE-GGA) for a relaxed ZrTc2P2 crystal.

## Properties
Space-group type: No. 127
ΔE_f, eV per atom: -0.488

abc: 7.062 7.062 2.957
angles: 90.00 90.00 90.00
Sites, in units of the cell vectors:
Zr1 0.000 0.000 0.000
Zr2 0.500 0.500 0.000
Tc1 0.141 0.359 0.500
Tc2 0.359 0.859 0.500
Tc3 0.641 0.141 0.500
Tc4 0.859 0.641 0.500
P1 0.150 0.650 0.000
P2 0.350 0.150 0.000
P3 0.650 0.850 0.000
P4 0.850 0.350 0.000

***

Record 2
Density functional theory data (PBE-GGA) for a relaxed ZrTcP2 crystal.

## Properties
Space-group type: No. 225
ΔE_f, eV per atom: -0.549

abc: 6.220 6.220 6.220
angles: 90.00 90.00 90.00
Sites, in units of the cell vectors:
Zr1 0.000 0.000 0.000
Zr2 0.000 0.500 0.500
Zr3 0.500 0.000 0.500
Zr4 0.500 0.500 0.000
Tc1 0.000 0.000 0.500
Tc2 0.000 0.500 0.000
Tc3 0.500 0.000 0.000
Tc4 0.500 0.500 0.500
P1 0.250 0.250 0.250
P2 0.250 0.250 0.750
P3 0.250 0.750 0.250
P4 0.250 0.750 0.750
P5 0.750 0.250 0.250
P6 0.750 0.250 0.750
P7 0.750 0.750 0.250
P8 0.750 0.750 0.750

***

Record 3
Density functional theory data (PBE-GGA) for a relaxed ZrTcP crystal.

## Properties
Space-group type: No. 189
ΔE_f, eV per atom: -1.059

abc: 6.771 6.771 3.550
angles: 90.00 90.00 120.00
Sites, in units of the cell vectors:
Zr1 0.000 0.408 0.000
Zr2 0.408 0.000 0.000
Zr3 0.592 0.592 0.000
Tc1 0.000 0.755 0.500
Tc2 0.245 0.245 0.500
Tc3 0.755 0.000 0.500
P1 0.000 0.000 0.000
P2 0.333 0.667 0.500
P3 0.667 0.333 0.500

***

Record 4
Density functional theory data (PBE-GGA) for a relaxed ZrTcP2 crystal.

## Properties
Space-group type: No. 44
ΔE_f, eV per atom: -0.852

abc: 3.296 3.359 11.630
angles: 90.00 90.00 90.00
Sites, in units of the cell vectors:
Zr1 0.000 0.000 0.000
Zr2 0.500 0.500 0.500
Tc1 0.000 0.500 0.249
Tc2 0.500 0.000 0.749
P1 0.000 0.000 0.592
P2 0.000 0.500 0.825
P3 0.500 0.000 0.325
P4 0.500 0.500 0.092

***

Record 5
Density functional theory data (PBE-GGA) for a relaxed ZrTcP2 crystal.

## Properties
Space-group type: No. 166
ΔE_f, eV per atom: -0.329

abc: 3.099 3.099 23.039
angles: 90.00 90.00 120.00
Sites, in units of the cell vectors:
Zr1 0.000 0.000 0.000
Zr2 0.333 0.667 0.667
Zr3 0.667 0.333 0.333
Tc1 0.000 0.000 0.500
Tc2 0.333 0.667 0.167
Tc3 0.667 0.333 0.833
P1 0.000 0.000 0.240
P2 0.000 0.000 0.760
P3 0.333 0.667 0.427
P4 0.333 0.667 0.907
P5 0.667 0.333 0.093
P6 0.667 0.333 0.573

***

Record 6
Density functional theory data (PBE-GGA) for a relaxed ZrTcP2 crystal.

## Properties
Space-group type: No. 6
ΔE_f, eV per atom: -0.646

abc: 3.264 4.292 4.717
angles: 90.00 110.20 90.00
Sites, in units of the cell vectors:
Zr1 0.000 0.000 0.000
Tc1 0.259 0.500 0.514
P1 0.542 0.500 0.080
P2 0.721 0.000 0.446

***

Record 7
Density functional theory data (PBE-GGA) for a relaxed Zr3TcP crystal.

## Properties
Space-group type: No. 221
ΔE_f, eV per atom: 0.089

abc: 4.813 4.813 4.813
angles: 90.00 90.00 90.00
Sites, in units of the cell vectors:
Zr1 0.000 0.000 0.500
Zr2 0.000 0.500 0.000
Zr3 0.500 0.000 0.000
Tc1 0.500 0.500 0.500
P1 0.000 0.000 0.000

***

Record 8
Density functional theory data (PBE-GGA) for a relaxed ZrTcP crystal.

## Properties
Space-group type: No. 156
ΔE_f, eV per atom: -0.538

abc: 3.566 3.566 4.880
angles: 90.00 90.00 120.00
Sites, in units of the cell vectors:
Zr1 0.000 0.000 0.000
Tc1 0.333 0.667 0.522
P1 0.667 0.333 0.322

***

Record 9
Density functional theory data (PBE-GGA) for a relaxed ZrTcP crystal.

## Properties
Space-group type: No. 216
ΔE_f, eV per atom: -0.415

abc: 5.958 5.958 5.958
angles: 90.00 90.00 90.00
Sites, in units of the cell vectors:
Zr1 0.000 0.000 0.000
Zr2 0.000 0.500 0.500
Zr3 0.500 0.000 0.500
Zr4 0.500 0.500 0.000
Tc1 0.000 0.000 0.500
Tc2 0.000 0.500 0.000
Tc3 0.500 0.000 0.000
Tc4 0.500 0.500 0.500
P1 0.250 0.250 0.250
P2 0.250 0.750 0.750
P3 0.750 0.250 0.750
P4 0.750 0.750 0.250

***

Record 10
Density functional theory data (PBE-GGA) for a relaxed ZrTcP2 crystal.

## Properties
Space-group type: No. 8
ΔE_f, eV per atom: -0.661

abc: 8.907 3.152 4.601
angles: 90.00 103.39 90.00
Sites, in units of the cell vectors:
Zr1 0.000 0.000 0.000
Zr2 0.500 0.500 0.000
Tc1 0.271 0.500 0.414
Tc2 0.771 0.000 0.414
P1 0.259 0.000 0.821
P2 0.490 0.000 0.500
P3 0.759 0.500 0.821
P4 0.990 0.500 0.500

***

Record 11
Density functional theory data (PBE-GGA) for a relaxed ZrTc2P2 crystal.

## Properties
Space-group type: No. 139
ΔE_f, eV per atom: -0.424

abc: 4.319 4.319 8.745
angles: 90.00 90.00 90.00
Sites, in units of the cell vectors:
Zr1 0.000 0.000 0.000
Zr2 0.500 0.500 0.500
Tc1 0.000 0.000 0.367
Tc2 0.000 0.000 0.633
Tc3 0.500 0.500 0.133
Tc4 0.500 0.500 0.867
P1 0.000 0.500 0.250
P2 0.000 0.500 0.750
P3 0.500 0.000 0.250
P4 0.500 0.000 0.750

***

Record 12
Density functional theory data (PBE-GGA) for a relaxed ZrTcP2 crystal.

## Properties
Space-group type: No. 71
ΔE_f, eV per atom: -0.573

abc: 3.998 4.828 6.424
angles: 90.00 90.00 90.00
Sites, in units of the cell vectors:
Zr1 0.000 0.000 0.000
Zr2 0.500 0.500 0.500
Tc1 0.000 0.000 0.500
Tc2 0.500 0.500 0.000
P1 0.000 0.500 0.220
P2 0.000 0.500 0.780
P3 0.500 0.000 0.280
P4 0.500 0.000 0.720

***

Record 13
Density functional theory data (PBE-GGA) for a relaxed ZrTcP2 crystal.

## Properties
Space-group type: No. 10
ΔE_f, eV per atom: -0.608

abc: 3.370 3.883 4.980
angles: 90.00 90.30 90.00
Sites, in units of the cell vectors:
Zr1 0.000 0.000 0.000
Tc1 0.500 0.000 0.500
P1 0.495 0.500 0.770
P2 0.505 0.500 0.230

***

Record 14
Density functional theory data (PBE-GGA) for a relaxed Zr3TcP crystal.

## Properties
Space-group type: No. 221
ΔE_f, eV per atom: 0.520

abc: 4.969 4.969 4.969
angles: 90.00 90.00 90.00
Sites, in units of the cell vectors:
Zr1 0.000 0.000 0.500
Zr2 0.000 0.500 0.000
Zr3 0.500 0.000 0.000
Tc1 0.000 0.000 0.000
P1 0.500 0.500 0.500

***

Record 15
Density functional theory data (PBE-GGA) for a relaxed ZrTcP2 crystal.

## Properties
Space-group type: No. 122
ΔE_f, eV per atom: -0.311

abc: 5.153 5.153 12.650
angles: 90.00 90.00 90.00
Sites, in units of the cell vectors:
Zr1 0.000 0.000 0.000
Zr2 0.000 0.500 0.250
Zr3 0.500 0.000 0.750
Zr4 0.500 0.500 0.500
Tc1 0.000 0.000 0.500
Tc2 0.000 0.500 0.750
Tc3 0.500 0.000 0.250
Tc4 0.500 0.500 0.000
P1 0.196 0.250 0.625
P2 0.250 0.696 0.875
P3 0.250 0.804 0.375
P4 0.304 0.250 0.125
P5 0.696 0.750 0.125
P6 0.750 0.196 0.375
P7 0.750 0.304 0.875
P8 0.804 0.750 0.625

***

Record 16
Density functional theory data (PBE-GGA) for a relaxed Te2P crystal.

## Properties
Space-group type: No. 141
Formation energy without anion corrections, eV/atom: 0.54

abc: 3.641 3.641 22.970
angles: 90.00 90.00 90.00
Sites, in units of the cell vectors:
Te1 0.000 0.250 0.304
Te2 0.000 0.250 0.446
Te3 0.000 0.750 0.554
Te4 0.000 0.750 0.696
Te5 0.500 0.250 0.054
Te6 0.500 0.250 0.196
Te7 0.500 0.750 0.804
Te8 0.500 0.750 0.946
P1 0.000 0.250 0.875
P2 0.000 0.750 0.125
P3 0.500 0.250 0.625
P4 0.500 0.750 0.375

***

Record 17
Density functional theory data (PBE-GGA) for a relaxed Te5P crystal.

## Properties
Space-group type: No. 189
Formation energy without anion corrections, eV/atom: 0.30

abc: 6.883 6.883 4.199
angles: 90.00 90.00 120.00
Sites, in units of the cell vectors:
Te1 0.000 0.710 0.000
Te2 0.290 0.290 0.000
Te3 0.333 0.667 0.500
Te4 0.667 0.333 0.500
Te5 0.710 0.000 0.000
P1 0.000 0.000 0.500

***

Record 18
Density functional theory data (PBE-GGA) for a relaxed Te8P crystal.

## Properties
Space-group type: No. 139
Formation energy without anion corrections, eV/atom: 0.24

abc: 9.226 9.226 9.226
angles: 93.00 93.00 153.56
Sites, in units of the cell vectors:
Te1 0.000 0.216 0.216
Te2 0.000 0.784 0.784
Te3 0.216 0.000 0.216
Te4 0.320 0.320 0.641
Te5 0.320 0.680 0.000
Te6 0.680 0.320 0.000
Te7 0.680 0.680 0.359
Te8 0.784 0.000 0.784
P1 0.000 0.000 0.000

***

Record 19
Density functional theory data (PBE-GGA) for a relaxed Te2P crystal.

## Properties
Space-group type: No. 139
Formation energy without anion corrections, eV/atom: 0.55

abc: 3.605 3.605 11.026
angles: 90.00 90.00 90.00
Sites, in units of the cell vectors:
Te1 0.000 0.000 0.145
Te2 0.000 0.000 0.855
Te3 0.500 0.500 0.355
Te4 0.500 0.500 0.645
P1 0.000 0.000 0.500
P2 0.500 0.500 0.000

***

Record 20
Density functional theory data (PBE-GGA) for a relaxed Te2P crystal.

## Properties
Space-group type: No. 205
Formation energy without anion corrections, eV/atom: 0.31

abc: 6.821 6.821 6.821
angles: 90.00 90.00 90.00
Sites, in units of the cell vectors:
Te1 0.142 0.142 0.142
Te2 0.142 0.358 0.642
Te3 0.358 0.642 0.142
Te4 0.358 0.858 0.642
Te5 0.642 0.142 0.358
Te6 0.642 0.358 0.858
Te7 0.858 0.642 0.358
Te8 0.858 0.858 0.858
P1 0.000 0.000 0.500
P2 0.000 0.500 0.000
P3 0.500 0.000 0.000
P4 0.500 0.500 0.500

***

Record 21
Density functional theory data (PBE-GGA) for a relaxed Te4P crystal.

## Properties
Space-group type: No. 221
Formation energy without anion corrections, eV/atom: 0.48

abc: 5.266 5.266 5.266
angles: 90.00 90.00 90.00
Sites, in units of the cell vectors:
Te1 0.000 0.000 0.000
Te2 0.000 0.500 0.500
Te3 0.500 0.000 0.500
Te4 0.500 0.500 0.000
P1 0.500 0.500 0.500

***

Record 22
Density functional theory data (PBE-GGA) for a relaxed Te2P crystal.

## Properties
Space-group type: No. 12
Formation energy without anion corrections, eV/atom: 0.20

abc: 11.387 3.557 9.448
angles: 90.00 101.02 90.00
Sites, in units of the cell vectors:
Te1 0.119 0.000 0.048
Te2 0.180 0.000 0.652
Te3 0.320 0.500 0.348
Te4 0.381 0.500 0.952
Te5 0.619 0.500 0.048
Te6 0.680 0.500 0.652
Te7 0.820 0.000 0.348
Te8 0.881 0.000 0.952
P1 0.017 0.500 0.620
P2 0.483 0.000 0.380
P3 0.517 0.000 0.620
P4 0.983 0.500 0.380

***

Record 23
Density functional theory data (PBE-GGA) for a relaxed Te5P crystal.

## Properties
Space-group type: No. 216
Formation energy without anion corrections, eV/atom: 0.84

abc: 6.270 6.270 6.270
angles: 60.00 60.00 60.00
Sites, in units of the cell vectors:
Te1 0.000 0.000 0.000
Te2 0.124 0.625 0.625
Te3 0.625 0.124 0.625
Te4 0.625 0.625 0.124
Te5 0.625 0.625 0.625
P1 0.250 0.250 0.250

***

Record 24
Density functional theory data (PBE-GGA) for a relaxed TeP5 crystal.

## Properties
Space-group type: No. 8
Formation energy without anion corrections, eV/atom: 0.26

abc: 9.758 3.245 9.610
angles: 90.00 114.35 90.00
Sites, in units of the cell vectors:
Te1 0.000 0.000 0.000
Te2 0.500 0.500 0.000
P1 0.030 0.000 0.750
P2 0.146 0.500 0.437
P3 0.318 0.000 0.399
P4 0.360 0.000 0.645
P5 0.463 0.500 0.339
P6 0.530 0.500 0.750
P7 0.646 0.000 0.437
P8 0.818 0.500 0.399
P9 0.860 0.500 0.645
P10 0.963 0.000 0.339

***

Record 25
Density functional theory data (PBE-GGA) for a relaxed Te2P crystal.

## Properties
Space-group type: No. 62
Formation energy without anion corrections, eV/atom: 0.20

abc: 8.502 3.967 10.155
angles: 90.00 90.00 90.00
Sites, in units of the cell vectors:
Te1 0.050 0.250 0.154
Te2 0.131 0.250 0.543
Te3 0.369 0.750 0.043
Te4 0.450 0.750 0.654
Te5 0.550 0.250 0.346
Te6 0.631 0.250 0.957
Te7 0.869 0.750 0.457
Te8 0.950 0.750 0.846
P1 0.162 0.250 0.926
P2 0.338 0.750 0.426
P3 0.662 0.250 0.574
P4 0.838 0.750 0.074

***

Record 26
Density functional theory data (PBE-GGA) for a relaxed Te5P crystal.

## Properties
Space-group type: No. 8
Formation energy without anion corrections, eV/atom: 0.12

abc: 13.880 4.147 8.139
angles: 90.00 125.82 90.00
Sites, in units of the cell vectors:
Te1 0.000 0.000 0.000
Te2 0.017 0.500 0.486
Te3 0.180 0.500 0.297
Te4 0.212 0.000 0.845
Te5 0.357 0.000 0.592
Te6 0.500 0.500 0.000
Te7 0.517 0.000 0.486
Te8 0.680 0.000 0.297
Te9 0.712 0.500 0.845
Te10 0.857 0.500 0.592
P1 0.354 0.500 0.090
P2 0.854 0.000 0.090

***

Record 27
Density functional theory data (PBE-GGA) for a relaxed Te2P crystal.

## Properties
Space-group type: No. 164
Formation energy without anion corrections, eV/atom: 0.18

abc: 3.718 3.718 7.024
angles: 90.00 90.00 120.00
Sites, in units of the cell vectors:
Te1 0.333 0.667 0.245
Te2 0.667 0.333 0.755
P1 0.000 0.000 0.000

***

Record 28
Density functional theory data (PBE-GGA) for a relaxed Te5P3 crystal.

## Properties
Space-group type: No. 65
Formation energy without anion corrections, eV/atom: 0.49

abc: 7.966 16.423 3.841
angles: 90.00 90.00 90.00
Sites, in units of the cell vectors:
Te1 0.000 0.000 0.000
Te2 0.222 0.500 0.500
Te3 0.250 0.250 0.000
Te4 0.250 0.750 0.000
Te5 0.278 0.000 0.500
Te6 0.500 0.500 0.000
Te7 0.722 0.000 0.500
Te8 0.750 0.250 0.000
Te9 0.750 0.750 0.000
Te10 0.778 0.500 0.500
P1 0.000 0.235 0.500
P2 0.000 0.500 0.000
P3 0.000 0.765 0.500
P4 0.500 0.000 0.000
P5 0.500 0.265 0.500
P6 0.500 0.735 0.500

***

Computed E_tot, in the same sequence as the records: -8.508, -7.982, -9.167, -8.286, -7.762, -8.080, -8.195, -8.646, -8.523, -8.095, -8.444, -8.006, -8.042, -7.764, -7.745, -3.357, -3.218, -3.154, -3.345, -3.587, -3.113, -3.702, -2.676, -4.767, -3.701, -3.397, -3.722, -3.498 eV per atom.
Computed volume, in the same sequence as the records: 14.74, 15.04, 15.66, 16.10, 15.97, 15.51, 22.30, 17.92, 17.62, 15.71, 16.31, 15.50, 16.29, 24.54, 20.99, 25.38, 28.71, 37.82, 23.88, 26.45, 29.20, 31.30, 29.05, 23.10, 28.54, 31.65, 28.03, 31.41 Å³ per atom.